1.
Below is an optimized crystal structure of Ca2MoBr, with properties calculated at the PBE-GGA level.

Properties
ΔE_f (raw): 0.353 eV per atom
Polymorph energy (0 for the lowest one): 440.1 meV per atom

Lattice parameters (Å, degrees): 4.360 4.360 12.231 90.00 90.00 90.00
Space group I-4m2 (No. 119)
Asymmetric unit:
Ca1 0.000 0.000 0.000 x2
Ca2 0.000 0.500 0.250 x2
Mo1 0.000 0.500 0.750 x2
Br1 0.000 0.000 0.500 x2

2.
Below is an optimized crystal structure of Ca3MoBr, with properties calculated at the PBE-GGA level.

Properties
ΔE_f (raw): 0.413 eV per atom
Polymorph energy (0 for the lowest one): 0.0 meV per atom

Lattice parameters (Å, degrees): 5.558 5.558 5.558 90.00 90.00 90.00
Space group Pm-3m (No. 221)
Asymmetric unit:
Ca1 0.000 0.000 0.500 x3
Mo1 0.500 0.500 0.500 x1
Br1 0.000 0.000 0.000 x1

3.
Below is an optimized crystal structure of Ca2MoBr, with properties calculated at the PBE-GGA level.

Properties
ΔE_f (raw): 0.145 eV per atom
Polymorph energy (0 for the lowest one): 232.9 meV per atom

Lattice parameters (Å, degrees): 11.513 3.733 4.940 90.00 90.47 90.00
Space group Cm (No. 8)
Asymmetric unit:
Ca1 0.000 0.000 0.000 x2
Ca2 0.207 0.500 0.504 x2
Mo1 0.272 0.000 0.005 x2
Br1 0.431 0.000 0.497 x2

4.
Below is an optimized crystal structure of Ca4MoBr, with properties calculated at the PBE-GGA level.

Properties
ΔE_f (raw): 0.709 eV per atom

Lattice parameters (Å, degrees): 9.630 9.630 9.630 90.00 90.00 90.00
Space group F-43m (No. 216)
Asymmetric unit:
Ca1 0.124 0.124 0.124 x16
Mo1 0.250 0.250 0.750 x4
Br1 0.000 0.000 0.500 x4

5.
Below is an optimized crystal structure of CaMoBr2, with properties calculated at the PBE-GGA level.

Properties
ΔE_f (raw): -0.228 eV per atom
Polymorph energy (0 for the lowest one): 66.7 meV per atom

Lattice parameters (Å, degrees): 3.514 4.992 13.626 90.00 90.00 90.00
Space group Immm (No. 71)
Asymmetric unit:
Ca1 0.000 0.000 0.000 x2
Mo1 0.000 0.000 0.500 x2
Br1 0.000 0.500 0.141 x4

6.
Below is an optimized crystal structure of CaMoBr2, with properties calculated at the PBE-GGA level.

Properties
ΔE_f (raw): 0.087 eV per atom
Polymorph energy (0 for the lowest one): 381.8 meV per atom

Lattice parameters (Å, degrees): 3.5475 3.5475 29.0177 90.00 90.00 120.00
Space group R-3m (No. 166, hexagonal axes)
Asymmetric unit:
Ca1 0.0000 0.0000 0.0000 x3
Mo1 0.0000 0.0000 0.5000 x3
Br1 0.0000 0.0000 0.1078 x6

7.
Below is an optimized crystal structure of Ca3MoBr, with properties calculated at the PBE-GGA level.

Properties
ΔE_f (raw): 0.433 eV per atom
Polymorph energy (0 for the lowest one): 20.0 meV per atom

Lattice parameters (Å, degrees): 5.508 5.508 5.508 90.00 90.00 90.00
Space group Pm-3m (No. 221)
Asymmetric unit:
Ca1 0.000 0.000 0.500 x3
Mo1 0.000 0.000 0.000 x1
Br1 0.500 0.500 0.500 x1

8.
Below is an optimized crystal structure of Ca2MoBr, with properties calculated at the PBE-GGA level.

Properties
ΔE_f (raw): 0.374 eV per atom
Polymorph energy (0 for the lowest one): 461.6 meV per atom

Lattice parameters (Å, degrees): 3.291 3.291 10.474 90.00 90.00 90.00
Space group P4mm (No. 99)
Asymmetric unit:
Ca1 0.000 0.000 0.000 x1
Ca2 0.500 0.500 0.322 x1
Mo1 0.000 0.000 0.528 x1
Br1 0.500 0.500 0.833 x1

| no. | final energy (eV/atom) | size of the total moment (μB/f.u.) | density of states at the Fermi level (states/eV per cell) |
| --- | --- | --- | --- |
| 1 | -3.77 | 3.5 | 6.87 |
| 2 | -3.29 | 4.3 | 6.14 |
| 3 | -3.98 | 3.1 | 4.75 |
| 4 | -2.71 | 3.9 | 20.47 |
| 5 | -4.27 | 0.0 | 6.29 |
| 6 | -3.96 | 0.0 | 23.34 |
| 7 | -3.27 | 0.0 | 3.77 |
| 8 | -3.75 | 0.8 | 2.74 |